CaBeCr2Co: relaxed, GGA-PBE.

Structure (CIF):
```
data_CaBeCr2Co
_chemical_formula_sum 'Ca1 Be1 Cr2 Co1'
_space_group_name_H-M_alt 'P 4/m m m'
_space_group_IT_number 123
_space_group_name_Hall '-P 4 2'
_cell_length_a 4.446
_cell_length_b 4.446
_cell_length_c 4.162
_cell_angle_alpha 90.00
_cell_angle_beta 90.00
_cell_angle_gamma 90.00
loop_
_atom_site_label
_atom_site_fract_x
_atom_site_fract_y
_atom_site_fract_z
Ca1 0.000 0.000 0.000
Be1 0.500 0.500 0.500
Cr1 0.000 0.500 0.500
Co1 0.500 0.500 0.000
```

Computed properties:
formation energy from the elements = 0.678 eV per atom

Sc2PH: relaxed, GGA-PBE.

Structure (CIF):
```
data_Sc2PH
_chemical_formula_sum 'Sc6 P3 H3'
_space_group_name_H-M_alt 'R 3 m'
_space_group_IT_number 160
_space_group_name_Hall 'R 3 -2"'
_cell_length_a 3.5531
_cell_length_b 3.5531
_cell_length_c 17.6329
_cell_angle_alpha 90.00
_cell_angle_beta 90.00
_cell_angle_gamma 120.00
loop_
_atom_site_label
_atom_site_fract_x
_atom_site_fract_y
_atom_site_fract_z
Sc1 0.0000 0.0000 0.0000
Sc2 0.0000 0.0000 0.1836
P1 0.0000 0.0000 0.4258
H1 0.0000 0.0000 0.6025
```

Computed properties:
energy = -73.3 eV for the cell shown

SrNd5Tl3: relaxed, GGA-PBE.

Structure (CIF):
```
data_SrNd5Tl3
_chemical_formula_sum 'Sr2 Nd10 Tl6'
_space_group_name_H-M_alt 'P 63/m c m'
_space_group_IT_number 193
_space_group_name_Hall '-P 6c 2'
_cell_length_a 9.7011
_cell_length_b 9.7011
_cell_length_c 7.0598
_cell_angle_alpha 90.00
_cell_angle_beta 90.00
_cell_angle_gamma 120.00
loop_
_atom_site_label
_atom_site_fract_x
_atom_site_fract_y
_atom_site_fract_z
Sr1 0.0000 0.0000 0.0000
Nd1 0.0000 0.3403 0.2500
Nd2 0.3333 0.6667 0.0000
Tl1 0.0000 0.3300 0.7500
```

Computed properties:
formation energy from the elements = -0.273 eV per atom